1.
The following is a GGA-PBE calculation of a relaxed structure of La2PbCl, from the Alexandria database.

Geometry as CIF:
```
data_La2PbCl
_chemical_formula_sum 'La2 Pb1 Cl1'
_space_group_name_H-M_alt 'P 4/m m m'
_space_group_IT_number 123
_space_group_name_Hall '-P 4 2'
_cell_length_a 4.519
_cell_length_b 4.519
_cell_length_c 6.315
_cell_angle_alpha 90.00
_cell_angle_beta 90.00
_cell_angle_gamma 90.00
loop_
_atom_site_label
_atom_site_type_symbol
_atom_site_fract_x
_atom_site_fract_y
_atom_site_fract_z
La1 La 0.000 0.000 0.000
La2 La 0.500 0.500 0.500
Pb1 Pb 0.000 0.000 0.500
Cl1 Cl 0.500 0.500 0.000
```

Fermi-level density of states: 0.713 states/eV per atom
calculated volume: 129 Å³/cell
relative energy among the computed polymorphs: 30 meV per atom
formation energy without anion corrections: -1.077 eV/atom
total energy: -19.72 eV for the cell shown

2.
The following is a GGA-PBE calculation of a relaxed structure of Na2In4Hg, from the Alexandria database.

Geometry as CIF:
```
data_Na2In4Hg
_chemical_formula_sum 'Na8 In16 Hg4'
_space_group_name_H-M_alt 'F m m m'
_space_group_IT_number 69
_space_group_name_Hall '-F 2 2'
_cell_length_a 6.004
_cell_length_b 10.999
_cell_length_c 12.365
_cell_angle_alpha 90.00
_cell_angle_beta 90.00
_cell_angle_gamma 90.00
loop_
_atom_site_label
_atom_site_type_symbol
_atom_site_fract_x
_atom_site_fract_y
_atom_site_fract_z
Na1 Na 0.000 0.000 0.144
In1 In 0.250 0.250 0.000
In2 In 0.250 0.250 0.250
Hg1 Hg 0.000 0.000 0.500
```

Fermi-level density of states: 0.457 states/eV per atom
formation energy: -41 meV/atom
calculated volume: 817 Å³/cell
relative energy among the computed polymorphs: 0 meV per atom
total energy: -56.72 eV for the cell shown

3.
The following is a GGA-PBE calculation of a relaxed structure of ZrNb3In, from the Alexandria database.

Geometry as CIF:
```
data_ZrNb3In
_chemical_formula_sum 'Zr1 Nb3 In1'
_space_group_name_H-M_alt 'P m -3 m'
_space_group_IT_number 221
_space_group_name_Hall '-P 4 2 3'
_cell_length_a 5.021
_cell_length_b 5.021
_cell_length_c 5.021
_cell_angle_alpha 90.00
_cell_angle_beta 90.00
_cell_angle_gamma 90.00
loop_
_atom_site_label
_atom_site_type_symbol
_atom_site_fract_x
_atom_site_fract_y
_atom_site_fract_z
Zr1 Zr 0.000 0.000 0.000
Nb1 Nb 0.000 0.500 0.500
In1 In 0.500 0.500 0.500
```

Fermi-level density of states: 1.519 states/eV per atom
formation energy: 1627 meV/atom
calculated volume: 127 Å³/cell
relative energy among the computed polymorphs: 206 meV per atom
total energy: -33.36 eV for the cell shown

4.
The following is a GGA-PBE calculation of a relaxed structure of Y2TcRu, from the Alexandria database.

Geometry as CIF:
```
data_Y2TcRu
_chemical_formula_sum 'Y6 Tc3 Ru3'
_space_group_name_H-M_alt 'R 3 m'
_space_group_IT_number 160
_space_group_name_Hall 'R 3 -2"'
_cell_length_a 3.2407
_cell_length_b 3.2407
_cell_length_c 28.7669
_cell_angle_alpha 90.00
_cell_angle_beta 90.00
_cell_angle_gamma 120.00
loop_
_atom_site_label
_atom_site_type_symbol
_atom_site_fract_x
_atom_site_fract_y
_atom_site_fract_z
Y1 Y 0.0000 0.0000 0.0000
Y2 Y 0.0000 0.0000 0.2207
Tc1 Tc 0.0000 0.0000 0.7465
Ru1 Ru 0.0000 0.0000 0.4759
```

Fermi-level density of states: 1.422 states/eV per atom
formation energy: 463 meV/atom
calculated volume: 262 Å³/cell
total energy: -92.15 eV for the cell shown

5.
The following is a GGA-PBE calculation of a relaxed structure of NaSr2B2, from the Alexandria database.

Geometry as CIF:
```
data_NaSr2B2
_chemical_formula_sum 'Na2 Sr4 B4'
_space_group_name_H-M_alt 'I 4/m m m'
_space_group_IT_number 139
_space_group_name_Hall '-I 4 2'
_cell_length_a 5.129
_cell_length_b 5.129
_cell_length_c 11.402
_cell_angle_alpha 90.00
_cell_angle_beta 90.00
_cell_angle_gamma 90.00
loop_
_atom_site_label
_atom_site_type_symbol
_atom_site_fract_x
_atom_site_fract_y
_atom_site_fract_z
Na1 Na 0.000 0.000 0.000
Sr1 Sr 0.000 0.000 0.341
B1 B 0.000 0.500 0.250
```

Fermi-level density of states: 0.883 states/eV per atom
formation energy: 1103 meV/atom
calculated volume: 300 Å³/cell
relative energy among the computed polymorphs: 196 meV per atom
total energy: -25.04 eV for the cell shown

6.
The following is a GGA-PBE calculation of a relaxed structure of NdPa2Sn9, from the Alexandria database.

Geometry as CIF:
```
data_NdPa2Sn9
_chemical_formula_sum 'Nd1 Pa2 Sn9'
_space_group_name_H-M_alt 'P 4/m m m'
_space_group_IT_number 123
_space_group_name_Hall '-P 4 2'
_cell_length_a 4.679
_cell_length_b 4.679
_cell_length_c 14.095
_cell_angle_alpha 90.00
_cell_angle_beta 90.00
_cell_angle_gamma 90.00
loop_
_atom_site_label
_atom_site_type_symbol
_atom_site_fract_x
_atom_site_fract_y
_atom_site_fract_z
Nd1 Nd 0.000 0.000 0.000
Pa1 Pa 0.000 0.000 0.339
Sn1 Sn 0.000 0.500 0.173
Sn2 Sn 0.000 0.500 0.500
Sn3 Sn 0.500 0.500 0.000
Sn4 Sn 0.500 0.500 0.336
```

Fermi-level density of states: 0.939 states/eV per atom
formation energy: -362 meV/atom
calculated volume: 309 Å³/cell
total energy: -64.13 eV for the cell shown

7.
The following is a GGA-PBE calculation of a relaxed structure of Re7Si6, from the Alexandria database.

Geometry as CIF:
```
data_Re7Si6
_chemical_formula_sum 'Re21 Si18'
_space_group_name_H-M_alt 'R -3 m'
_space_group_IT_number 166
_space_group_name_Hall '-R 3 2"'
_cell_length_a 5.1931
_cell_length_b 5.1931
_cell_length_c 26.2750
_cell_angle_alpha 90.00
_cell_angle_beta 90.00
_cell_angle_gamma 120.00
loop_
_atom_site_label
_atom_site_type_symbol
_atom_site_fract_x
_atom_site_fract_y
_atom_site_fract_z
Re1 Re 0.0000 0.0000 0.0000
Re2 Re 0.0031 0.5016 0.4217
Si1 Si 0.0000 0.0000 0.1655
Si2 Si 0.0000 0.0000 0.3254
Si3 Si 0.0000 0.0000 0.4522
```

Fermi-level density of states: 0.417 states/eV per atom
calculated volume: 614 Å³/cell
formation energy without anion corrections: 0.291 eV/atom
total energy: -347.67 eV for the cell shown

8.
The following is a GGA-PBE calculation of a relaxed structure of Mn2GeOs, from the Alexandria database.

Geometry as CIF:
```
data_Mn2GeOs
_chemical_formula_sum 'Mn2 Ge1 Os1'
_space_group_name_H-M_alt 'P 4/m m m'
_space_group_IT_number 123
_space_group_name_Hall '-P 4 2'
_cell_length_a 3.714
_cell_length_b 3.714
_cell_length_c 3.859
_cell_angle_alpha 90.00
_cell_angle_beta 90.00
_cell_angle_gamma 90.00
loop_
_atom_site_label
_atom_site_type_symbol
_atom_site_fract_x
_atom_site_fract_y
_atom_site_fract_z
Mn1 Mn 0.000 0.500 0.000
Ge1 Ge 0.000 0.000 0.500
Os1 Os 0.500 0.500 0.500
```

Fermi-level density of states: 0.762 states/eV per atom
formation energy: 44 meV/atom
calculated volume: 53 Å³/cell
total energy: -34.01 eV for the cell shown